Entry 1:
VASP calculation (PBE-GGA) on a geometry-optimized GaAgBr3 structure.

The structure belongs to space group Pm-3m (No. 221); the cell edges are 5.267, 5.267 and 5.267 Å and the angles 90.00°, 90.00° and 90.00°. The asymmetric unit holds Ga at (0.000, 0.000, 0.000), Ag at (0.500, 0.500, 0.500) and Br at (0.000, 0.000, 0.500).

The electronic total energy comes out at -2.408 eV/atom. The value obtained for the formation energy (no corrections) is -1.145 eV/f.u.


Entry 2:
VASP calculation (PBE-GGA) on a geometry-optimized GaAg2Br structure.

The structure belongs to space group I-42d (No. 122); the cell edges are 7.561, 7.561 and 6.272 Å and the angles 90.00°, 90.00° and 90.00°. The asymmetric unit holds Ga at (0.000, 0.000, 0.000), Ag at (0.231, 0.250, 0.125) and Br at (0.000, 0.000, 0.500).

The value obtained for the energy relative to the lowest polymorph listed for this composition is 0.000 eV per atom. The electronic total energy comes out at -2.539 eV/atom. The value obtained for the formation energy (no corrections) is 0.248 eV/f.u.


Entry 3:
VASP calculation (PBE-GGA) on a geometry-optimized GaAgBr5 structure.

The structure belongs to space group C2/c (No. 15); the cell edges are 10.302, 11.138 and 9.338 Å and the angles 90.00°, 111.02° and 90.00°. The asymmetric unit holds Ga at (0.000, 0.180, 0.250), Ag at (0.000, 0.500, 0.000), Br at (0.000, 0.397, 0.750), Br at (0.133, 0.305, 0.140) and Br at (0.165, 0.070, 0.442).

The value obtained for the energy relative to the lowest polymorph listed for this composition is 0.000 eV per atom. The electronic total energy comes out at -2.574 eV/atom. The value obtained for the formation energy (no corrections) is -3.773 eV/f.u.


Entry 4:
VASP calculation (PBE-GGA) on a geometry-optimized GaAg2Br structure.

The structure belongs to space group Fm-3m (No. 225); the cell edges are 7.027, 7.027 and 7.027 Å and the angles 90.00°, 90.00° and 90.00°. The asymmetric unit holds Ga at (0.000, 0.000, 0.000), Ag at (0.250, 0.250, 0.250) and Br at (0.000, 0.000, 0.500).

The value obtained for the energy relative to the lowest polymorph listed for this composition is 0.171 eV per atom. The electronic total energy comes out at -2.367 eV/atom. The value obtained for the formation energy (no corrections) is 0.934 eV/f.u.